Entry from the Alexandria database: a geometry-optimized Sc4Pt structure (PBE).

Output
SG = Pm-3m (221)
Magnetic moment = 0.000 Bohr magnetons per cell
Energy relative to the elements = -21.89 kJ/mol of atoms
Density of states at the Fermi level = 7.97 states/eV/f.u.
Excess energy over the best structure of this formula in the dataset = 1.49 eV/f.u.
E = -6.50 eV per atom

Geometry as POSCAR:
```
Sc4Pt
1.0
5.102 0.000 0.000
0.000 5.102 0.000
0.000 0.000 5.102
Sc Pt
4 1
Direct
0.000 0.500 0.500
0.500 0.500 0.000
0.500 0.000 0.500
0.000 0.000 0.000
0.500 0.500 0.500
```